1.
DFT (GGA-PBEsol) results for an optimized crystal structure of CdSb2Ru.

```
data_CdSb2Ru
_cell_length_a 3.1641
_cell_length_b 3.1641
_cell_length_c 8.3476
_cell_angle_alpha 90.00
_cell_angle_beta 90.00
_cell_angle_gamma 90.00
_symmetry_space_group_name_H-M 'P 4 m m'
_symmetry_Int_Tables_number 99
loop_
_symmetry_equiv_pos_as_xyz
'x,y,z'
'-y,x,z'
'-x,-y,z'
'y,-x,z'
'-x,y,z'
'y,x,z'
'x,-y,z'
'-y,-x,z'
loop_
_atom_site_label
_atom_site_type_symbol
_atom_site_fract_x
_atom_site_fract_y
_atom_site_fract_z
Cd1 Cd 0.0000 0.0000 0.0000
Sb1 Sb 0.0000 0.0000 0.3892
Sb2 Sb 0.5000 0.5000 0.7185
Ru1 Ru 0.5000 0.5000 0.2159
```

Output
Energy relative to the elements, uncorrected (eV per atom): 0.082
Crystal system: tetragonal
Magnetization (μB per formula unit): 0.00

2.
DFT (GGA-PBEsol) results for an optimized crystal structure of Cd2SbRu.

```
data_Cd2SbRu
_cell_length_a 3.1050
_cell_length_b 5.3260
_cell_length_c 4.6321
_cell_angle_alpha 90.00
_cell_angle_beta 93.44
_cell_angle_gamma 90.00
_symmetry_space_group_name_H-M 'P 1 2/m 1'
_symmetry_Int_Tables_number 10
loop_
_symmetry_equiv_pos_as_xyz
'x,y,z'
'-x,-y,-z'
'-x,y,-z'
'x,-y,z'
loop_
_atom_site_label
_atom_site_type_symbol
_atom_site_fract_x
_atom_site_fract_y
_atom_site_fract_z
Cd1 Cd 0.2488 0.0000 0.2574
Sb1 Sb 0.0000 0.5000 0.0000
Ru1 Ru 0.5000 0.5000 0.5000
```

Output
Energy relative to the elements, uncorrected (eV per atom): 0.301
Crystal system: monoclinic
Magnetization (μB per formula unit): 0.11

3.
DFT (GGA-PBEsol) results for an optimized crystal structure of Cd2SbRu.

```
data_Cd2SbRu
_cell_length_a 5.4275
_cell_length_b 10.4772
_cell_length_c 3.1830
_cell_angle_alpha 90.00
_cell_angle_beta 122.01
_cell_angle_gamma 90.00
_symmetry_space_group_name_H-M 'C 1 2/m 1'
_symmetry_Int_Tables_number 12
loop_
_symmetry_equiv_pos_as_xyz
'x,y,z'
'-x,-y,-z'
'-x,y,-z'
'x,-y,z'
'x+1/2,y+1/2,z'
'-x+1/2,-y+1/2,-z'
'-x+1/2,y+1/2,-z'
'x+1/2,-y+1/2,z'
loop_
_atom_site_label
_atom_site_type_symbol
_atom_site_fract_x
_atom_site_fract_y
_atom_site_fract_z
Cd1 Cd 0.2500 0.2500 0.0000
Sb1 Sb 0.0000 0.0000 0.0000
Ru1 Ru 0.0000 0.5000 0.0000
```

Output
Energy relative to the elements, uncorrected (eV per atom): 0.322
Crystal system: monoclinic
Magnetization (μB per formula unit): 0.00

4.
DFT (GGA-PBEsol) results for an optimized crystal structure of CdSb2Ru.

```
data_CdSb2Ru
_cell_length_a 6.0920
_cell_length_b 3.3602
_cell_length_c 8.5203
_cell_angle_alpha 90.00
_cell_angle_beta 100.75
_cell_angle_gamma 90.00
_symmetry_space_group_name_H-M 'C 1 2/m 1'
_symmetry_Int_Tables_number 12
loop_
_symmetry_equiv_pos_as_xyz
'x,y,z'
'-x,-y,-z'
'-x,y,-z'
'x,-y,z'
'x+1/2,y+1/2,z'
'-x+1/2,-y+1/2,-z'
'-x+1/2,y+1/2,-z'
'x+1/2,-y+1/2,z'
loop_
_atom_site_label
_atom_site_type_symbol
_atom_site_fract_x
_atom_site_fract_y
_atom_site_fract_z
Cd1 Cd 0.0000 0.0000 0.0000
Sb1 Sb 0.2287 0.0000 0.7119
Ru1 Ru 0.0000 0.5000 0.5000
```

Output
Energy relative to the elements, uncorrected (eV per atom): 0.084
Crystal system: monoclinic
Magnetization (μB per formula unit): 0.00